An optimized crystal structure of KZn2InF8. Source: the Alexandria database, functional PBE.

Cell: 8.3983 8.3983 8.3983 Å, 37.03 37.03 37.03°
Fractional positions:
K (0.0000, 0.0000, 0.0000)
Zn (0.2507, 0.2507, 0.2507)
Zn (0.7493, 0.7493, 0.7493)
In (0.5000, 0.5000, 0.5000)
F (0.1263, 0.4464, 0.7699)
F (0.2301, 0.8737, 0.5536)
F (0.3300, 0.3300, 0.3300)
F (0.4464, 0.7699, 0.1263)
F (0.5536, 0.2301, 0.8737)
F (0.6700, 0.6700, 0.6700)
F (0.7699, 0.1263, 0.4464)
F (0.8737, 0.5536, 0.2301)

Values from the calculation:
Formation energy without anion corrections ... -2.40 eV per atom
E ... -4.180 eV per atom